No. 1
Below is a PBEsol-optimized structure of Sc2AlAu, with properties calculated at the SCAN level.

Cell: 3.4293 3.4293 6.3976 Å, 90.00 90.00 90.00°
Last column: nearest neighbours and their distance in Å.
Space group P4/mmm (No. 123)
Inequivalent atoms, fractional coordinates:
1 Sc 0.0000 0.0000 0.2463 x2  4 Au 2.89, 4 Al 2.92, 1 Sc 3.15
2 Al 0.5000 0.5000 0.5000 x1  8 Sc 2.92, 2 Au 3.20
3 Au 0.5000 0.5000 0.0000 x1  8 Sc 2.89, 2 Al 3.20

Calculated values
Its energy relative to the elements is -0.76 eV/atom. Its magnetization is 0.00 μB/atom. As for the volume: 18.809 A^3/atom.

***

No. 2
Below is a PBEsol-optimized structure of Sc2AlAu, with properties calculated at the SCAN level.

Cell: 4.3482 3.3760 10.6361 Å, 90.00 90.00 90.00°
Last column: nearest neighbours and their distance in Å.
Space group Amm2 (No. 38)
Inequivalent atoms, fractional coordinates:
1 Sc 0.0000 0.0000 0.0000 x2  4 Au 2.88, 3 Al 2.89-2.95
2 Sc 0.5000 0.0000 0.3122 x2  3 Au 2.86-2.98, 4 Al 2.90
3 Al 0.0000 0.0000 0.7279 x2  2 Au 2.68, 7 Sc 2.89-2.95
4 Au 0.5000 0.0000 0.5808 x2  2 Al 2.68, 7 Sc 2.86-2.98

Calculated values
Its energy relative to the elements is -0.78 eV/atom. Its magnetization is 0.02 μB/atom. As for the volume: 19.517 A^3/atom.

***

No. 3
Below is a PBEsol-optimized structure of Al2AuSe, with properties calculated at the SCAN level.

Cell: 6.0864 6.0864 10.0078 Å, 90.00 90.00 90.00°
Last column: nearest neighbours and their distance in Å.
Space group I-42d (No. 122)
Inequivalent atoms, fractional coordinates:
1 Al 0.2399 0.7500 0.1250 x8  2 Au 2.45, 2 Se 2.53
2 Au 0.0000 0.0000 0.0000 x4  4 Al 2.45
3 Se 0.0000 0.0000 0.5000 x4  4 Al 2.53

Calculated values
For the formation energy without anion corrections, the calculation gives -1.7 eV per formula unit. Its magnetization is 0.00 μB/atom. As for the volume: 23.171 A^3/atom.

***

No. 4
Below is a PBEsol-optimized structure of AlAuSe2, with properties calculated at the SCAN level.

Cell: 5.1079 5.1079 5.7465 Å, 90.00 90.00 90.00°
Last column: nearest neighbours and their distance in Å.
Space group I4/mmm (No. 139)
Inequivalent atoms, fractional coordinates:
1 Al 0.0000 0.0000 0.0000 x2  2 Au 2.87, 8 Se 2.93
2 Au 0.0000 0.0000 0.5000 x2  2 Al 2.87, 8 Se 2.93
3 Se 0.0000 0.5000 0.2500 x4  2 Se 2.87, 4 Al 2.93, 4 Au 2.93

Calculated values
For the formation energy without anion corrections, the calculation gives 1.1 eV per formula unit. Its magnetization is 0.00 μB/atom. As for the volume: 18.741 A^3/atom.

***

No. 5
Below is a PBEsol-optimized structure of AlAuSe2, with properties calculated at the SCAN level.

Cell: 5.8607 5.8607 6.2703 Å, 90.00 90.00 90.00°
Last column: nearest neighbours and their distance in Å.
Space group P4_2/m (No. 84)
Inequivalent atoms, fractional coordinates:
1 Al 0.0000 0.0000 0.2500 x2  4 Se 2.44
2 Au 0.0000 0.5000 0.0000 x2  2 Se 2.42
3 Se 0.1805 0.7371 0.5000 x4  1 Au 2.42, 2 Al 2.44

Calculated values
For the formation energy without anion corrections, the calculation gives -2.5 eV per formula unit. Its magnetization is 0.00 μB/atom. As for the volume: 26.922 A^3/atom.

***

No. 6
Below is a PBEsol-optimized structure of Al2SiAu, with properties calculated at the SCAN level.

Cell: 5.7175 7.6955 2.8387 Å, 90.00 90.00 90.00°
Last column: nearest neighbours and their distance in Å.
Space group Cmmm (No. 65)
Inequivalent atoms, fractional coordinates:
1 Al 0.2500 0.2500 0.0000 x4  4 Si 2.79, 4 Au 2.79, 4 Al 2.84-2.86
2 Si 0.0000 0.0000 0.5000 x2  8 Al 2.79, 2 Si 2.84, 2 Au 2.86
3 Au 0.0000 0.5000 0.5000 x2  8 Al 2.79, 2 Au 2.84, 2 Si 2.86

Calculated values
For the formation energy without anion corrections, the calculation gives -0.2 eV per formula unit. Its magnetization is 0.00 μB/atom. As for the volume: 15.613 A^3/atom.

***

No. 7
Below is a PBEsol-optimized structure of Al2SiAu2, with properties calculated at the SCAN level.

Cell: 7.8206 7.8206 2.7294 Å, 90.00 90.00 90.00°
Last column: nearest neighbours and their distance in Å.
Space group P4/mbm (No. 127)
Inequivalent atoms, fractional coordinates:
1 Al 0.1312 0.3688 0.0000 x4  6 Au 2.61-2.72, 3 Al 2.73-2.90
2 Si 0.0000 0.0000 0.5000 x2  2 Si 2.73, 4 Au 2.91
3 Au 0.1677 0.6677 0.5000 x4  6 Al 2.61-2.72, 2 Au 2.73, 2 Si 2.91

Calculated values
For the formation energy without anion corrections, the calculation gives -0.9 eV per formula unit. Its magnetization is 0.00 μB/atom. As for the volume: 16.693 A^3/atom.

***

No. 8
Below is a PBEsol-optimized structure of Al2SiAu, with properties calculated at the SCAN level.

Cell: 8.0380 3.1439 5.3654 Å, 90.00 103.93 90.00°
Last column: nearest neighbours and their distance in Å.
Space group C2/m (No. 12)
Inequivalent atoms, fractional coordinates:
1 Al 0.2499 0.0000 0.2414 x4  3 Au 2.63-2.64, 3 Si 2.66-2.70
2 Si 0.0000 0.0000 0.5000 x2  6 Al 2.66-2.70
3 Au 0.0000 0.5000 0.0000 x2  6 Al 2.63-2.64

Calculated values
For the formation energy without anion corrections, the calculation gives -0.3 eV per formula unit. Its magnetization is 0.00 μB/atom. As for the volume: 16.450 A^3/atom.